(1)
Here is a relaxed structure of ErTlIn from the Alexandria database. Energies are from PBE.

Output
Its uncorrected energy is -9.28 eV per cell. The energy above the most stable polymorph in this dataset is 0.378 eV/atom. As for the symmetry: I4mm (107). The calculation puts the density of states at the Fermi level at 2.760 states/eV/cell. As for the crystal system: tetragonal.

Unit cell a=3.3178 b=3.3178 c=8.6561 alpha=101.05 beta=101.05 gamma=90.00
Last column: nearest neighbours and their distance in Å.
Positions (direct):
Tl (0.1289, 0.1289, 0.2577)  1 In 2.93
In (0.9529, 0.9529, 0.9057)  1 Tl 2.93, 1 Er 3.08
Er (0.7683, 0.7683, 0.5366)  1 In 3.08, 4 Tl 3.30, 4 Er 3.32


(2)
Here is a relaxed structure of Er2Tl5In from the Alexandria database. Energies are from PBE.

Output
Its uncorrected energy is -50.85 eV per cell. As for the symmetry: Pbam (55). The calculation puts the density of states at the Fermi level at 5.054 states/eV/cell. As for the crystal system: orthorhombic.

Unit cell a=4.7002 b=6.7080 c=13.4206 alpha=90.00 beta=90.00 gamma=90.00
Last column: nearest neighbours and their distance in Å.
Positions (direct):
Er (0.5000, 0.2545, 0.3753)  10 Tl 3.32-3.38, 2 In 3.35
Er (0.5000, 0.7455, 0.6247)  10 Tl 3.32-3.38, 2 In 3.35
Er (0.5000, 0.2455, 0.8753)  10 Tl 3.32-3.38, 2 In 3.35
Er (0.5000, 0.7545, 0.1247)  10 Tl 3.32-3.38, 2 In 3.35
Tl (0.5000, 0.2578, 0.1235)  2 In 3.30, 4 Er 3.33-3.38, 6 Tl 3.34-3.36
Tl (0.5000, 0.7422, 0.8765)  2 In 3.30, 4 Er 3.33-3.38, 6 Tl 3.34-3.36
Tl (0.5000, 0.7578, 0.3765)  2 In 3.30, 4 Er 3.33-3.38, 6 Tl 3.34-3.36
Tl (0.5000, 0.2422, 0.6235)  2 In 3.30, 4 Er 3.33-3.38, 6 Tl 3.34-3.36
Tl (0.0000, 0.9934, 0.7487)  4 Er 3.33-3.36, 7 Tl 3.34-3.37, 1 In 3.34
Tl (0.0000, 0.0066, 0.2513)  4 Er 3.33-3.36, 7 Tl 3.34-3.37, 1 In 3.34
Tl (0.0000, 0.4934, 0.7513)  4 Er 3.33-3.36, 7 Tl 3.34-3.37, 1 In 3.34
Tl (0.0000, 0.5066, 0.2487)  4 Er 3.33-3.36, 7 Tl 3.34-3.37, 1 In 3.34
Tl (0.0000, 0.5000, 0.5000)  4 Er 3.32, 2 In 3.35, 6 Tl 3.36-3.37
Tl (0.0000, 0.0000, 0.0000)  4 Er 3.32, 2 In 3.35, 6 Tl 3.36-3.37
In (0.0000, 0.0000, 0.5000)  8 Tl 3.30-3.35, 4 Er 3.35
In (0.0000, 0.5000, 0.0000)  8 Tl 3.30-3.35, 4 Er 3.35


(3)
Here is a relaxed structure of Er11Tl4In9 from the Alexandria database. Energies are from PBE.

Output
Its uncorrected energy is -92.75 eV per cell. As for the symmetry: Cmmm (65). The calculation puts the density of states at the Fermi level at 17.471 states/eV/cell. As for the crystal system: orthorhombic.

Unit cell a=3.5195 b=14.6982 c=14.6982 alpha=123.68 beta=90.00 gamma=90.00
Last column: nearest neighbours and their distance in Å.
Positions (direct):
Er (0.0000, 0.5825, 0.9273)  2 Tl 3.18, 6 In 3.20-3.35, 4 Er 3.41-3.54
Er (0.0000, 0.4175, 0.0727)  2 Tl 3.18, 6 In 3.20-3.35, 4 Er 3.41-3.54
Er (0.0000, 0.9273, 0.5825)  2 Tl 3.18, 6 In 3.20-3.35, 4 Er 3.41-3.54
Er (0.0000, 0.0727, 0.4175)  2 Tl 3.18, 6 In 3.20-3.35, 4 Er 3.41-3.54
Er (0.0000, 0.6669, 0.3331)  4 Tl 3.22, 4 In 3.23, 4 Er 3.52-3.54
Er (0.0000, 0.3331, 0.6669)  4 Tl 3.22, 4 In 3.23, 4 Er 3.52-3.54
Er (0.0000, 0.8390, 0.1610)  8 In 3.28-3.30, 4 Er 3.41-3.52
Er (0.0000, 0.1610, 0.8390)  8 In 3.28-3.30, 4 Er 3.41-3.52
Er (0.0000, 0.0000, 0.0000)  8 In 3.29, 2 Er 3.52
Er (0.0000, 0.7261, 0.7261)  4 Tl 3.23, 6 In 3.37-3.60, 2 Er 3.52
Er (0.0000, 0.2739, 0.2739)  4 Tl 3.23, 6 In 3.37-3.60, 2 Er 3.52
Tl (0.5000, 0.5430, 0.7279)  2 In 3.05-3.25, 6 Er 3.18-3.23
Tl (0.5000, 0.4570, 0.2721)  2 In 3.05-3.25, 6 Er 3.18-3.23
Tl (0.5000, 0.7279, 0.5430)  2 In 3.05-3.25, 6 Er 3.18-3.23
Tl (0.5000, 0.2721, 0.4570)  2 In 3.05-3.25, 6 Er 3.18-3.23
In (0.5000, 0.6345, 0.1329)  8 Er 3.20-3.31, 3 In 3.23-3.52
In (0.5000, 0.3655, 0.8671)  8 Er 3.20-3.31, 3 In 3.23-3.52
In (0.5000, 0.1329, 0.6345)  8 Er 3.20-3.31, 3 In 3.23-3.52
In (0.5000, 0.8671, 0.3655)  8 Er 3.20-3.31, 3 In 3.23-3.52
In (0.5000, 0.7878, 0.9490)  1 Tl 3.25, 8 Er 3.28-3.37, 2 In 3.52
In (0.5000, 0.2122, 0.0510)  1 Tl 3.25, 8 Er 3.28-3.37, 2 In 3.52
In (0.5000, 0.9490, 0.7878)  1 Tl 3.25, 8 Er 3.28-3.37, 2 In 3.52
In (0.5000, 0.0510, 0.2122)  1 Tl 3.25, 8 Er 3.28-3.37, 2 In 3.52
In (0.5000, 0.5000, 0.5000)  4 Tl 3.05


(4)
Here is a relaxed structure of Er8Tl3In4 from the Alexandria database. Energies are from PBE.

Output
Its uncorrected energy is -56.76 eV per cell. As for the symmetry: C2/m (12). The calculation puts the density of states at the Fermi level at 13.316 states/eV/cell. As for the crystal system: monoclinic.

Unit cell a=10.5189 b=8.8141 c=8.8141 alpha=89.61 beta=126.59 gamma=126.59
Last column: nearest neighbours and their distance in Å.
Positions (direct):
Er (0.5096, 0.2527, 0.2527)  2 In 3.08-3.20, 3 Tl 3.11-3.18, 2 Er 3.35-3.43
Er (0.0000, 0.6481, 0.3519)  2 In 3.37, 2 Tl 3.38, 7 Er 3.56-3.68
Er (0.9957, 0.2530, 0.2530)  4 In 3.08-3.20, 1 Tl 3.19, 2 Er 3.35-3.43
Er (0.5000, 0.7498, 0.2502)  3 Tl 3.10-3.13, 3 In 3.11-3.13
Er (0.5000, 0.2502, 0.7498)  3 Tl 3.10-3.13, 3 In 3.11-3.13
Er (0.0043, 0.7470, 0.7470)  4 In 3.08-3.20, 1 Tl 3.19, 2 Er 3.35-3.43
Er (0.0000, 0.3519, 0.6481)  2 In 3.37, 2 Tl 3.38, 7 Er 3.56-3.68
Er (0.4904, 0.7473, 0.7473)  2 In 3.08-3.20, 3 Tl 3.11-3.18, 2 Er 3.35-3.43
Tl (0.5000, 0.5000, 0.0000)  6 Er 3.11-3.38, 2 In 3.39
Tl (0.5000, 0.0000, 0.5000)  6 Er 3.11-3.38, 2 In 3.39
Tl (0.5000, 0.5000, 0.5000)  6 Er 3.10-3.19, 2 In 3.39
In (0.5000, 0.0000, 0.0000)  6 Er 3.08-3.11
In (0.0000, 0.5000, 0.0000)  6 Er 3.11-3.37, 2 Tl 3.39
In (0.0000, 0.0000, 0.0000)  4 Er 3.20, 2 Tl 3.39
In (0.0000, 0.0000, 0.5000)  6 Er 3.11-3.37, 2 Tl 3.39


(5)
Here is a relaxed structure of Er8Tl5In from the Alexandria database. Energies are from PBE.

Output
Its uncorrected energy is -54.40 eV per cell. As for the symmetry: I-4 (82). The calculation puts the density of states at the Fermi level at 19.378 states/eV/cell. As for the crystal system: tetragonal.

Unit cell a=8.0204 b=8.0204 c=8.0204 alpha=109.42 beta=109.57 gamma=109.42
Last column: nearest neighbours and their distance in Å.
Positions (direct):
Er (0.1259, 0.7507, 0.0225)  1 In 3.11, 5 Tl 3.11-3.31
Er (0.9775, 0.1034, 0.7281)  1 In 3.11, 5 Tl 3.11-3.31
Er (0.7735, 0.2498, 0.3752)  5 Tl 3.11-3.30, 1 In 3.30
Er (0.6248, 0.3983, 0.8746)  5 Tl 3.11-3.30, 1 In 3.30
Er (0.4763, 0.6017, 0.2265)  5 Tl 3.11-3.30, 1 In 3.30
Er (0.6247, 0.8966, 0.8741)  1 In 3.11, 5 Tl 3.11-3.31
Er (0.2719, 0.2493, 0.3753)  1 In 3.11, 5 Tl 3.11-3.31
Er (0.1254, 0.7502, 0.5237)  5 Tl 3.11-3.30, 1 In 3.30
Tl (0.0001, 0.3757, 0.1259)  8 Er 3.11-3.31
Tl (0.8741, 0.8742, 0.2498)  8 Er 3.11-3.31
Tl (0.7502, 0.6243, 0.6244)  8 Er 3.11-3.31
Tl (0.5000, 0.0000, 0.5000)  8 Er 3.12-3.30
Tl (0.3756, 0.1258, 0.9999)  8 Er 3.11-3.31
In (0.2500, 0.5000, 0.7500)  8 Er 3.11-3.30


(6)
Here is a relaxed structure of Er12TlIn3 from the Alexandria database. Energies are from PBE.

Output
Its uncorrected energy is -69.13 eV per cell. As for the symmetry: P4/mmm (123). The calculation puts the density of states at the Fermi level at 21.750 states/eV/cell. As for the crystal system: tetragonal.

Unit cell a=4.8001 b=4.8001 c=19.2523 alpha=90.00 beta=90.00 gamma=90.00
Last column: nearest neighbours and their distance in Å.
Positions (direct):
Er (0.5000, 0.5000, 0.0000)  4 Tl 3.39, 8 Er 3.41
Er (0.5000, 0.5000, 0.2503)  8 Er 3.39-3.40, 4 In 3.39
Er (0.5000, 0.5000, 0.5000)  4 In 3.39, 8 Er 3.40
Er (0.5000, 0.5000, 0.7497)  8 Er 3.39-3.40, 4 In 3.39
Er (0.5000, 0.0000, 0.1260)  2 In 3.39, 8 Er 3.39-3.41, 2 Tl 3.41
Er (0.5000, 0.0000, 0.3751)  8 Er 3.39-3.40, 4 In 3.40
Er (0.5000, 0.0000, 0.6249)  8 Er 3.39-3.40, 4 In 3.40
Er (0.5000, 0.0000, 0.8740)  2 In 3.39, 8 Er 3.39-3.41, 2 Tl 3.41
Er (0.0000, 0.5000, 0.1260)  2 In 3.39, 8 Er 3.39-3.41, 2 Tl 3.41
Er (0.0000, 0.5000, 0.3751)  8 Er 3.39-3.40, 4 In 3.40
Er (0.0000, 0.5000, 0.6249)  8 Er 3.39-3.40, 4 In 3.40
Er (0.0000, 0.5000, 0.8740)  2 In 3.39, 8 Er 3.39-3.41, 2 Tl 3.41
Tl (0.0000, 0.0000, 0.0000)  12 Er 3.39-3.41
In (0.0000, 0.0000, 0.2502)  12 Er 3.39-3.40
In (0.0000, 0.0000, 0.5000)  12 Er 3.39-3.40
In (0.0000, 0.0000, 0.7498)  12 Er 3.39-3.40


Q: density of states at the Fermi level of number 1 (ErTlIn)?
A: 2.760 states/eV/cell